The following is a PBE+U calculation of an optimized crystal structure of Rb3NiSe2O8, from the Alexandria database.

Lattice parameters (Å, degrees): 5.9093 5.9093 7.9253 90.00 90.00 120.00
Fractional positions:
Rb1 0.0000 0.0000 0.0000
Rb2 0.3333 0.6667 0.7027
Rb3 0.6667 0.3333 0.2973
Ni1 0.0000 0.0000 0.5000
Se1 0.3333 0.6667 0.2681
Se2 0.6667 0.3333 0.7319
O1 0.1717 0.3434 0.3376
O2 0.1717 0.8283 0.3376
O3 0.3333 0.6667 0.0560
O4 0.3434 0.1717 0.6624
O5 0.6566 0.8283 0.3376
O6 0.6667 0.3333 0.9440
O7 0.8283 0.1717 0.6624
O8 0.8283 0.6566 0.6624

Output
* calculated total energy: -4.818 eV/atom